Entry 1:
A relaxed CePrP2Rh2 crystal. Source: the Alexandria database, functional PBE.

abc: 4.1281 4.1281 7.9815
angles: 90.00 90.00 120.00
Fractional coordinates of all 6 atoms:
Ce  0.0000  0.0000  0.0000
Pr  0.0000  0.0000  0.5000
P  0.3333  0.6667  0.7467
P  0.6667  0.3333  0.2533
Rh  0.3333  0.6667  0.2306
Rh  0.6667  0.3333  0.7694

Values from the calculation:
- Formation energy: -1.235 eV per atom
- Fermi-level density of states: 0.641 states/eV per atom
- SG: P-3m1 (164)

---

Entry 2:
A relaxed In2Si2Hg crystal. Source: the Alexandria database, functional PBE.

abc: 9.1902 9.1902 9.1902
angles: 157.57 157.57 31.94
Fractional coordinates of all 5 atoms:
In  0.1127  0.1127  0.0000
In  0.8873  0.8873  0.0000
Si  0.2500  0.7500  0.5000
Si  0.7500  0.2500  0.5000
Hg  0.5000  0.5000  0.0000

Values from the calculation:
- Fermi-level density of states: 0.277 states/eV per atom
- Energy above the most stable polymorph in this dataset: 0 meV per atom
- Energy relative to the elements, uncorrected: 0.196 eV per atom
- SG: I4/mmm (139)

---

Entry 3:
A relaxed SrPH crystal. Source: the Alexandria database, functional PBE.

abc: 4.2442 4.7028 12.6171
angles: 90.00 90.00 90.00
Fractional coordinates of all 12 atoms:
Sr  0.2018  0.0007  0.1260
Sr  0.2982  0.9993  0.6260
Sr  0.7018  0.4993  0.8740
Sr  0.7982  0.5007  0.3740
P  0.2023  0.9994  0.8723
P  0.2977  0.0006  0.3723
P  0.7023  0.5006  0.1277
P  0.7977  0.4994  0.6277
H  0.0137  0.0011  0.4366
H  0.4863  0.9989  0.9366
H  0.5137  0.4989  0.5634
H  0.9863  0.5011  0.0634

Values from the calculation:
- Energy above the most stable polymorph in this dataset: 7 meV per atom
- SG: P2_12_12_1 (19)

---

Entry 4:
A relaxed ZnReCl2 crystal. Source: the Alexandria database, functional PBE.

abc: 4.8650 4.8650 2.9554
angles: 90.00 90.00 107.97
Fractional coordinates of all 4 atoms:
Zn  0.0000  0.0000  0.0000
Re  0.5000  0.5000  0.0000
Cl  0.0000  0.5000  0.5000
Cl  0.5000  0.0000  0.5000

Values from the calculation:
- Fermi-level density of states: 0.852 states/eV per atom
- Energy above the most stable polymorph in this dataset: 978 meV per atom
- Energy relative to the elements, uncorrected: 0.958 eV per atom
- SG: Cmmm (65)

---

Entry 5:
A relaxed NaReAs2Br crystal. Source: the Alexandria database, functional PBE.

abc: 4.7443 4.7443 5.8345
angles: 90.00 90.00 90.00
Fractional coordinates of all 5 atoms:
Na  0.0000  0.0000  0.0000
Re  0.5000  0.5000  0.5000
As  0.0000  0.5000  0.5000
As  0.5000  0.0000  0.5000
Br  0.5000  0.5000  0.0000

Values from the calculation:
- Fermi-level density of states: 0.447 states/eV per atom
- Energy above the most stable polymorph in this dataset: 0 meV per atom
- Energy relative to the elements, uncorrected: 0.041 eV per atom
- SG: P4/mmm (123)

---

Entry 6:
A relaxed SbP2Os crystal. Source: the Alexandria database, functional PBE.

abc: 3.8106 3.8106 8.2049
angles: 105.94 105.94 46.09
Fractional coordinates of all 4 atoms:
Sb  0.0000  0.0000  0.0000
P  0.1518  0.1518  0.3472
P  0.8482  0.8482  0.6528
Os  0.5000  0.5000  0.5000

Values from the calculation:
- Fermi-level density of states: 0.478 states/eV per atom
- Energy relative to the elements, uncorrected: 0.045 eV per atom
- SG: C2/m (12)

---

Entry 7:
A relaxed LaPbW3 crystal. Source: the Alexandria database, functional PBE.

abc: 5.0961 5.0961 5.0961
angles: 90.00 90.00 90.00
Fractional coordinates of all 5 atoms:
La  0.0000  0.0000  0.0000
Pb  0.5000  0.5000  0.5000
W  0.0000  0.5000  0.5000
W  0.5000  0.0000  0.5000
W  0.5000  0.5000  0.0000

Values from the calculation:
- Formation energy: 2.430 eV per atom
- Fermi-level density of states: 1.629 states/eV per atom
- Energy above the most stable polymorph in this dataset: 0 meV per atom
- SG: Pm-3m (221)

---

Entry 8:
A relaxed NiHg2Te crystal. Source: the Alexandria database, functional PBE.

abc: 10.4028 10.4028 10.4028
angles: 17.77 17.77 17.77
Fractional coordinates of all 4 atoms:
Ni  0.0000  0.0000  0.0000
Hg  0.2707  0.2707  0.2707
Hg  0.7293  0.7293  0.7293
Te  0.5000  0.5000  0.5000

Values from the calculation:
- Fermi-level density of states: 0.725 states/eV per atom
- Energy relative to the elements, uncorrected: 0.313 eV per atom
- SG: R-3m (166)

---

Entry 9:
A relaxed HfP2S2 crystal. Source: the Alexandria database, functional PBE.

abc: 4.4393 4.4393 4.4459
angles: 90.00 90.00 90.00
Fractional coordinates of all 5 atoms:
Hf  0.0000  0.0000  0.0000
P  0.5000  0.5000  0.0000
P  0.5000  0.5000  0.5000
S  0.0000  0.5000  0.5000
S  0.5000  0.0000  0.5000

Values from the calculation:
- Fermi-level density of states: 0.393 states/eV per atom
- Energy above the most stable polymorph in this dataset: 0 meV per atom
- Energy relative to the elements, uncorrected: 0.177 eV per atom
- SG: P4/mmm (123)

---

Entry 10:
A relaxed MnFeNi2 crystal. Source: the Alexandria database, functional PBE.

abc: 2.5083 3.5530 5.0404
angles: 90.00 90.00 90.00
Fractional coordinates of all 4 atoms:
Mn  0.0000  0.0000  0.0000
Fe  0.5000  0.5000  0.7452
Ni  0.0000  0.0000  0.5002
Ni  0.5000  0.5000  0.2516

Values from the calculation:
- Formation energy: -0.011 eV per atom
- Fermi-level density of states: 0.869 states/eV per atom
- SG: Pmm2 (25)

---

Entry 11:
A relaxed KCdHCl2 crystal. Source: the Alexandria database, functional PBE.

abc: 5.5100 5.5100 3.7952
angles: 90.00 90.00 90.00
Fractional coordinates of all 5 atoms:
K  0.0000  0.0000  0.0000
Cd  0.5000  0.5000  0.5000
H  0.5000  0.5000  0.0000
Cl  0.0000  0.5000  0.5000
Cl  0.5000  0.0000  0.5000

Values from the calculation:
- SG: P4/mmm (123)

---

Entry 12:
A relaxed ScTaW crystal. Source: the Alexandria database, functional PBE.

abc: 4.4871 4.4871 4.4871
angles: 60.00 60.00 60.00
Fractional coordinates of all 3 atoms:
Sc  0.0000  0.0000  0.0000
Ta  0.5000  0.5000  0.5000
W  0.7500  0.7500  0.7500

Values from the calculation:
- Formation energy: 0.698 eV per atom
- Fermi-level density of states: 0.771 states/eV per atom
- Energy above the most stable polymorph in this dataset: 554 meV per atom
- SG: F-43m (216)

---

Number 1: E_tot -43.647 eV for the cell shown, total magnetic moment 0.00 μB per formula unit. Number 2: E_tot -15.646 eV for the cell shown, total magnetic moment 0.00 μB per formula unit. Number 3: E_tot -50.815 eV for the cell shown, total magnetic moment 0.00 μB per formula unit. Number 4: E_tot -13.582 eV for the cell shown, total magnetic moment 0.00 μB per formula unit. Number 5: E_tot -24.536 eV for the cell shown, total magnetic moment 0.00 μB per formula unit. Number 6: E_tot -25.990 eV for the cell shown, total magnetic moment 0.00 μB per formula unit. Number 7: E_tot -35.346 eV for the cell shown, total magnetic moment 0.00 μB per formula unit. Number 8: E_tot -8.274 eV for the cell shown, total magnetic moment 0.00 μB per formula unit. Number 9: E_tot -28.145 eV for the cell shown, total magnetic moment 0.00 μB per formula unit. Number 10: E_tot -29.240 eV for the cell shown, total magnetic moment 0.16 μB per formula unit. Number 11: E_tot -14.188 eV for the cell shown, total magnetic moment 0.00 μB per formula unit. Number 12: E_tot -29.043 eV for the cell shown, total magnetic moment 0.00 μB per formula unit.